*w*
Crystalline KBaFeO3 at its relaxed geometry, computed with GGA+U.

The total moment is 6.7 μB per cell. Its space group is C2/m (12). The calculation puts the volume at 17.637 Å³/atom.

Cell: 3.957 7.286 7.978 Å, 106.38 90.00 105.76°
Sites, in units of the cell vectors:
1 K 0.647 0.293 0.567
2 K 0.353 0.707 0.433
3 O 0.854 0.708 0.163
4 O 0.494 0.988 0.229
5 O 0.133 0.266 0.308
6 O 0.867 0.734 0.692
7 O 0.146 0.292 0.837
8 O 0.506 0.012 0.771
9 Ba 0.654 0.308 0.089
10 Ba 0.346 0.692 0.911
11 Fe 0.006 0.012 0.757
12 Fe 0.994 0.988 0.243



*x*
Crystalline KBaFeO3 at its relaxed geometry, computed with GGA+U.

The total moment is 20.0 μB per cell. Its space group is Cmce (64). The calculation puts the volume at 18.793 Å³/atom.

Cell: 6.570 6.570 12.978 Å, 90.00 90.00 126.39°
Sites, in units of the cell vectors:
1 K 0.546 0.454 0.360
2 K 0.046 0.954 0.140
3 K 0.954 0.046 0.860
4 K 0.454 0.546 0.640
5 Fe 0.770 0.230 0.664
6 Fe 0.730 0.270 0.164
7 Fe 0.230 0.770 0.336
8 Fe 0.270 0.730 0.836
9 Ba 0.357 0.643 0.081
10 Ba 0.857 0.143 0.419
11 Ba 0.643 0.357 0.919
12 Ba 0.143 0.857 0.581
13 O 0.478 0.022 0.750
14 O 0.424 0.576 0.877
15 O 0.171 0.829 0.951
16 O 0.978 0.522 0.750
17 O 0.576 0.424 0.123
18 O 0.329 0.671 0.451
19 O 0.022 0.478 0.250
20 O 0.829 0.171 0.049
21 O 0.671 0.329 0.549
22 O 0.924 0.076 0.623
23 O 0.076 0.924 0.377
24 O 0.522 0.978 0.250



We find *x* to be the most stable, with the next structure 196 meV per atom higher.